Entry 1:
! YTl2In, relaxed, DFT PBE; values from VASP
! E_form = -0.0853 eV per atom
! size of the total moment = 0.00 μB/f.u.
&SYSTEM
  ibrav = 0, nat = 8, ntyp = 3
/
ATOMIC_SPECIES
Y 88.91 Y.upf
Tl 204.38 Tl.upf
In 114.82 In.upf
ATOMIC_POSITIONS crystal
Y 0.500 0.500 0.000
Y 0.250 0.750 0.500
Tl 0.643 0.125 0.250
Tl 0.107 0.625 0.250
Tl 0.375 0.357 0.750
Tl 0.875 0.893 0.750
In 0.000 0.000 0.000
In 0.750 0.250 0.500
CELL_PARAMETERS angstrom
8.411 0.000 0.000
0.000 8.411 0.000
4.206 4.206 3.256

***

Entry 2:
! KSr3, relaxed, DFT PBE; values from VASP
! distance to the lowest polymorph of the same formula = 0 meV/atom
! E_form = 0.0455 eV per atom
! size of the total moment = 0.00 μB/f.u.
&SYSTEM
  ibrav = 0, nat = 4, ntyp = 2
/
ATOMIC_SPECIES
Sr 87.62 Sr.upf
K 39.10 K.upf
ATOMIC_POSITIONS crystal
Sr 0.000 0.000 0.500
Sr 0.667 0.333 0.262
Sr 0.667 0.333 0.738
K 0.000 0.000 0.000
CELL_PARAMETERS angstrom
4.301 0.000 0.000
-2.151 3.725 0.000
0.000 0.000 14.546

***

Entry 3:
! Na4Pu3CuS8, relaxed, DFT PBE; values from VASP
! size of the total moment = 13.00 μB/f.u.
! ΔE_f (raw) = -1.2778 eV per atom
&SYSTEM
  ibrav = 0, nat = 16, ntyp = 4
/
ATOMIC_SPECIES
Na 22.99 Na.upf
Pu 244.00 Pu.upf
Cu 63.55 Cu.upf
S 32.06 S.upf
ATOMIC_POSITIONS crystal
Na 0.500 0.000 0.000
Na 0.500 0.000 0.500
Na 0.000 0.000 0.000
Na 0.000 0.000 0.500
Pu 0.500 0.500 0.000
Pu 0.500 0.500 0.500
Pu 0.000 0.500 0.500
Cu 0.000 0.500 0.000
S 0.237 0.719 0.981
S 0.239 0.720 0.477
S 0.257 0.271 0.514
S 0.744 0.719 0.981
S 0.256 0.281 0.019
S 0.743 0.729 0.486
S 0.761 0.280 0.523
S 0.763 0.281 0.019
CELL_PARAMETERS angstrom
-2.275 7.515 -0.484
-7.614 -2.229 1.169
5.493 -2.117 5.228